Here is a relaxed Te2WCl crystal from Alexandria via LeMat-Bulk. Energies are from PBE.

Cell lengths 4.9336, 4.9336, 4.9336 Å; angles 120.13, 120.13, 89.77 degrees
With the nearest neighbours (Å) after each atom.
Element x y z (fractional)
Te  0.0000  0.0000  0.0000  4 W 3.02, 4 Te 3.02
Te  0.7500  0.2500  0.5000  4 Cl 3.02, 4 Te 3.02
W  0.2500  0.7500  0.5000  4 Cl 3.02, 4 Te 3.02
Cl  0.5000  0.5000  0.0000  4 W 3.02, 4 Te 3.02

Its space-group type is I-4m2.



Here is a relaxed TeWCl3 crystal from Alexandria via LeMat-Bulk. Energies are from PBE.

Cell lengths 5.4267, 5.4267, 5.4267 Å; angles 90.00, 90.00, 90.00 degrees
With the nearest neighbours (Å) after each atom.
Element x y z (fractional)
Te  0.0000  0.0000  0.0000  6 Cl 2.71
W  0.5000  0.5000  0.5000  12 Cl 3.84
Cl  0.0000  0.0000  0.5000  2 Te 2.71
Cl  0.0000  0.5000  0.0000  2 Te 2.71
Cl  0.5000  0.0000  0.0000  2 Te 2.71

Its space-group type is Pm-3m.



Here is a relaxed TeWCl crystal from Alexandria via LeMat-Bulk. Energies are from PBE.

Cell lengths 3.3495, 3.3495, 7.8412 Å; angles 90.00, 90.00, 120.00 degrees
With the nearest neighbours (Å) after each atom.
Element x y z (fractional)
Te  0.0000  0.0000  0.0000  3 W 2.70
W  0.6667  0.3333  0.2404  3 Cl 2.61, 3 Te 2.70
Cl  0.3333  0.6667  0.4641  3 W 2.61

Its space-group type is P3m1.



Here is a relaxed Te2WCl crystal from Alexandria via LeMat-Bulk. Energies are from PBE.

Cell lengths 4.9616, 4.9616, 4.9616 Å; angles 60.00, 60.00, 60.00 degrees
With the nearest neighbours (Å) after each atom.
Element x y z (fractional)
Te  0.2500  0.2500  0.2500  4 Cl 3.04, 4 W 3.04
Te  0.7500  0.7500  0.7500  4 Cl 3.04, 4 W 3.04
W  0.0000  0.0000  0.0000  8 Te 3.04
Cl  0.5000  0.5000  0.5000  8 Te 3.04

Its space-group type is Fm-3m.



Here is a relaxed Te2WCl crystal from Alexandria via LeMat-Bulk. Energies are from PBE.

Cell lengths 7.4301, 7.4301, 7.4301 Å; angles 122.80, 122.80, 85.21 degrees
With the nearest neighbours (Å) after each atom.
Element x y z (fractional)
Te  0.0566  0.6250  0.9316  2 W 2.59
Te  0.3750  0.3066  0.4316  2 W 2.59
Te  0.6934  0.1250  0.0684  2 W 2.59
Te  0.8750  0.9434  0.5684  2 W 2.59
W  0.0000  0.0000  0.0000  4 Te 2.59
W  0.7500  0.2500  0.5000  4 Te 2.59
Cl  0.2500  0.7500  0.5000  4 Te 3.19
Cl  0.5000  0.5000  0.0000  4 Te 3.19

Its space-group type is I-42d.



Here is a relaxed Te2WCl crystal from Alexandria via LeMat-Bulk. Energies are from PBE.

Cell lengths 8.7356, 8.7356, 8.7356 Å; angles 23.70, 23.70, 23.70 degrees
With the nearest neighbours (Å) after each atom.
Element x y z (fractional)
Te  0.2388  0.2388  0.2388  3 W 2.77
Te  0.7612  0.7612  0.7612  3 W 2.77
W  0.5000  0.5000  0.5000  6 Te 2.77
Cl  0.0000  0.0000  0.0000  6 Te 3.18

Its space-group type is R-3m.



Here is a relaxed Te2WCl crystal from Alexandria via LeMat-Bulk. Energies are from PBE.

Cell lengths 3.1415, 3.1415, 10.6536 Å; angles 90.00, 90.00, 90.00 degrees
With the nearest neighbours (Å) after each atom.
Element x y z (fractional)
Te  0.0000  0.0000  0.0000  4 Te 3.14
Te  0.5000  0.5000  0.3350  4 W 2.80
W  0.0000  0.0000  0.4955  4 Cl 2.72, 4 Te 2.80
Cl  0.5000  0.5000  0.6432  4 W 2.72

Its space-group type is P4mm.



Here is a relaxed TeW3Cl crystal from Alexandria via LeMat-Bulk. Energies are from PBE.

Cell lengths 4.5174, 4.5174, 4.5174 Å; angles 90.00, 90.00, 90.00 degrees
With the nearest neighbours (Å) after each atom.
Element x y z (fractional)
Te  0.0000  0.0000  0.0000  12 W 3.19
W  0.0000  0.5000  0.5000  2 Cl 2.26
W  0.5000  0.0000  0.5000  2 Cl 2.26
W  0.5000  0.5000  0.0000  2 Cl 2.26
Cl  0.5000  0.5000  0.5000  6 W 2.26

Its space-group type is Pm-3m.



Number 1: formation energy from raw total energies 3.64 eV/f.u.. Number 2: formation energy from raw total energies 5.74 eV/f.u.. Number 3: formation energy from raw total energies 0.09 eV/f.u.. Number 4: formation energy from raw total energies 2.23 eV/f.u.. Number 5: formation energy from raw total energies 1.57 eV/f.u.. Number 6: formation energy from raw total energies -0.08 eV/f.u.. Number 7: formation energy from raw total energies 0.79 eV/f.u.. Number 8: formation energy from raw total energies 8.78 eV/f.u..